Computed, not measured: an optimized crystal structure of KCr3 at the GGA-PBE level of DFT.

It has space group Pnma (No. 62), with a = 4.503 Å, b = 9.521 Å, c = 6.603 Å, α = 90.00°, β = 90.00° and γ = 90.00°. Symmetry generates all atoms from K at (0.010, 0.250, 0.128), Cr at (0.048, 0.250, 0.663) and Cr at (0.134, 0.543, 0.329).

The calculation puts the calculated volume at 17.69 A^3/atom. For the mass density, the calculation gives 4.577 g/cm3. Its crystal system is orthorhombic. The value obtained for the formation enthalpy at 0 K is 1.364 eV/atom.

---

Computed, not measured: an optimized crystal structure of Tm2Be4Pt3Au at the GGA-PBE level of DFT.

It has space group P-4m2 (No. 115), with a = 4.042 Å, b = 4.042 Å, c = 9.404 Å, α = 90.00°, β = 90.00° and γ = 90.00°. Symmetry generates all atoms from Tm at (0.000, 0.500, 0.244), Be at (0.000, 0.000, 0.000), Be at (0.000, 0.500, 0.631), Be at (0.500, 0.500, 0.000), Pt at (0.000, 0.500, 0.875), Pt at (0.500, 0.500, 0.500) and Au at (0.000, 0.000, 0.500).

The calculation puts the calculated volume at 15.37 A^3/atom. For the mass density, the calculation gives 12.493 g/cm3. Its crystal system is tetragonal. The value obtained for the formation enthalpy at 0 K is -0.790 eV/atom.

---

Computed, not measured: an optimized crystal structure of HfAs4 at the GGA-PBE level of DFT.

It has space group Pm-3m (No. 221), with a = 5.120 Å, b = 5.120 Å, c = 5.120 Å, α = 90.00°, β = 90.00° and γ = 90.00°. Symmetry generates all atoms from Hf at (0.000, 0.000, 0.000), As at (0.000, 0.000, 0.500) and As at (0.500, 0.500, 0.500).

The calculation puts the calculated volume at 26.84 A^3/atom. For the mass density, the calculation gives 5.916 g/cm3. Its crystal system is cubic. The value obtained for the formation enthalpy at 0 K is 0.521 eV/atom.

---

Computed, not measured: an optimized crystal structure of RbCdBi at the GGA-PBE level of DFT.

It has space group I4mm (No. 107), with a = 4.344 Å, b = 4.344 Å, c = 13.113 Å, α = 90.00°, β = 90.00° and γ = 90.00°. Symmetry generates all atoms from Rb at (0.000, 0.000, 0.000), Cd at (0.000, 0.000, 0.736) and Bi at (0.000, 0.000, 0.279).

The calculation puts the calculated volume at 41.25 A^3/atom. For the mass density, the calculation gives 5.460 g/cm3. Its crystal system is tetragonal. The value obtained for the formation enthalpy at 0 K is -0.115 eV/atom.

---

Computed, not measured: an optimized crystal structure of CrCu2Cl at the GGA-PBE level of DFT.

It has space group P4mm (No. 99), with a = 3.168 Å, b = 3.168 Å, c = 6.492 Å, α = 90.00°, β = 90.00° and γ = 90.00°. Symmetry generates all atoms from Cr at (0.000, 0.000, 0.000), Cu at (0.000, 0.000, 0.398), Cu at (0.500, 0.500, 0.241) and Cl at (0.500, 0.500, 0.770).

The calculation puts the calculated volume at 16.29 A^3/atom. For the mass density, the calculation gives 5.467 g/cm3. Its crystal system is tetragonal.

---

Computed, not measured: an optimized crystal structure of HfSnPt at the GGA-PBE level of DFT.

It has space group P-6m2 (No. 187), with a = 4.5967 Å, b = 4.5967 Å, c = 3.1840 Å, α = 90.00°, β = 90.00° and γ = 120.00°. Symmetry generates all atoms from Hf at (0.0000, 0.0000, 0.0000), Sn at (0.3333, 0.6667, 0.5000) and Pt at (0.6667, 0.3333, 0.5000).

The calculation puts the calculated volume at 19.42 A^3/atom. For the mass density, the calculation gives 14.030 g/cm3. Its crystal system is hexagonal. The value obtained for the formation enthalpy at 0 K is -0.671 eV/atom.

---

Computed, not measured: an optimized crystal structure of TmNiB at the GGA-PBE level of DFT.

It has space group P-6m2 (No. 187), with a = 3.6490 Å, b = 3.6490 Å, c = 3.7089 Å, α = 90.00°, β = 90.00° and γ = 120.00°. Symmetry generates all atoms from Tm at (0.0000, 0.0000, 0.0000), Ni at (0.6667, 0.3333, 0.5000) and B at (0.3333, 0.6667, 0.5000).

The calculation puts the calculated volume at 14.26 A^3/atom. For the mass density, the calculation gives 9.258 g/cm3. Its crystal system is hexagonal. The value obtained for the formation enthalpy at 0 K is -0.416 eV/atom.

---

Computed, not measured: an optimized crystal structure of Sc2Pd7Pt3 at the GGA-PBE level of DFT.

It has space group P2/m (No. 10), with a = 2.896 Å, b = 4.426 Å, c = 16.434 Å, α = 90.00°, β = 95.15° and γ = 90.00°. Symmetry generates all atoms from Sc at (0.140, 0.000, 0.277), Pd at (0.088, 0.500, 0.174), Pd at (0.213, 0.000, 0.429), Pd at (0.430, 0.000, 0.861), Pd at (0.500, 0.500, 0.000), Pt at (0.000, 0.000, 0.000) and Pt at (0.328, 0.500, 0.659).

The calculation puts the calculated volume at 17.48 A^3/atom. For the mass density, the calculation gives 11.239 g/cm3. Its crystal system is monoclinic. The value obtained for the formation enthalpy at 0 K is -0.248 eV/atom.

---

Computed, not measured: an optimized crystal structure of SrZn3Se4O12 at the GGA-PBE level of DFT.

It has space group R32 (No. 155, hexagonal axes), with a = 10.8393 Å, b = 10.8393 Å, c = 8.0753 Å, α = 90.00°, β = 90.00° and γ = 120.00°. Symmetry generates all atoms from Sr at (0.0000, 0.0000, 0.0000), Zn at (0.0000, 0.5709, 0.0000), Se at (0.0000, 0.0000, 0.5000), Se at (0.0000, 0.3980, 0.5000), O at (0.0000, 0.5559, 0.5000), O at (0.0000, 0.8266, 0.5000) and O at (0.0505, 0.1942, 0.2084).

The calculation puts the calculated volume at 13.69 A^3/atom. For the mass density, the calculation gives 4.800 g/cm3. Its crystal system is trigonal.

---

Computed, not measured: an optimized crystal structure of ScMnSe2I at the GGA-PBE level of DFT.

It has space group P4/mmm (No. 123), with a = 5.635 Å, b = 5.635 Å, c = 4.892 Å, α = 90.00°, β = 90.00° and γ = 90.00°. Symmetry generates all atoms from Sc at (0.000, 0.000, 0.000), Mn at (0.500, 0.500, 0.000), Se at (0.000, 0.500, 0.500) and I at (0.500, 0.500, 0.500).

The calculation puts the calculated volume at 31.06 A^3/atom. For the mass density, the calculation gives 4.113 g/cm3. Its crystal system is tetragonal.

---

Computed, not measured: an optimized crystal structure of RbBN2O at the GGA-PBE level of DFT.

It has space group P4/mmm (No. 123), with a = 3.233 Å, b = 3.233 Å, c = 6.512 Å, α = 90.00°, β = 90.00° and γ = 90.00°. Symmetry generates all atoms from Rb at (0.000, 0.000, 0.000), B at (0.500, 0.500, 0.500), N at (0.000, 0.500, 0.500) and O at (0.500, 0.500, 0.000).

The calculation puts the calculated volume at 13.62 A^3/atom. For the mass density, the calculation gives 3.422 g/cm3. Its crystal system is tetragonal.

---

Computed, not measured: an optimized crystal structure of Er5Tl4Ir at the GGA-PBE level of DFT.

It has space group I4/m (No. 87), with a = 10.024 Å, b = 10.024 Å, c = 5.663 Å, α = 90.00°, β = 90.00° and γ = 90.00°. Symmetry generates all atoms from Er at (0.000, 0.000, 0.000), Er at (0.137, 0.225, 0.500), Tl at (0.044, 0.343, 0.000) and Ir at (0.000, 0.000, 0.500).

The calculation puts the calculated volume at 28.45 A^3/atom. For the mass density, the calculation gives 10.775 g/cm3. Its crystal system is tetragonal. The value obtained for the formation enthalpy at 0 K is -0.294 eV/atom.

---

Going through the records in order, we get total energy values of -6.128; -5.315; -5.190; -2.036; -4.696; -7.337; -6.059; -5.843; -4.802; -4.060; -4.883; -4.408 eV/atom.